This record from Alexandria describes Mg2ZrMn after structural relaxation. The functional is GGA-PBE.

It has space group I4/mmm (No. 139), with a = 4.088 Å, b = 4.088 Å, c = 9.363 Å, α = 90.00°, β = 90.00° and γ = 90.00°. The inequivalent atoms are Mg at (0.000, 0.500, 0.250), Zr at (0.000, 0.000, 0.000) and Mn at (0.000, 0.000, 0.500).

As for the total magnetization: 0.299 μB/atom. The calculation puts the final energy at -5.028 eV/atom. The value obtained for the formation energy is 19.21 kJ per mole of atoms.


This record from Alexandria describes Ho2Ga5Pt3 after structural relaxation. The functional is GGA-PBE.

It has space group Cmc2_1 (No. 36), with a = 4.335 Å, b = 24.845 Å, c = 6.768 Å, α = 90.00°, β = 90.00° and γ = 90.00°. The inequivalent atoms are Ho at (0.000, 0.017, 0.000), Ho at (0.000, 0.325, 0.975), Ga at (0.000, 0.104, 0.659), Ga at (0.000, 0.206, 0.172), Ga at (0.000, 0.208, 0.764), Ga at (0.000, 0.377, 0.507), Ga at (0.000, 0.449, 0.822), Pt at (0.000, 0.106, 0.265), Pt at (0.000, 0.274, 0.466) and Pt at (0.000, 0.449, 0.217).

As for the total magnetization: 0.000 μB/atom. The calculation puts the final energy at -5.145 eV/atom. The offset from the most stable computed form is 0.00 kcal/mol of atoms. The value obtained for the formation energy is -87.24 kJ per mole of atoms.


- What is the formula in the second record?
  Ho2Ga5Pt3


- Which formula does entry 2 have?
  Ho2Ga5Pt3